## NpMnCu4 (PBE-GGA)

Data for a geometry-optimized NpMnCu4 structure.

The structure belongs to space group F-43m (No. 216); the cell edges are 7.072, 7.072 and 7.072 Å and the angles 90.00°, 90.00° and 90.00°. The inequivalent atoms are Np at (0.000, 0.000, 0.000), Mn at (0.250, 0.250, 0.750) and Cu at (0.124, 0.124, 0.376).

Its crystal system is cubic. As for the volume: 14.7 Å³ per atom. For the total DFT energy (no corrections), the calculation gives -150.5 eV per cell. The value obtained for the total magnetic moment is 0.35 μB per formula unit.